A plane-wave DFT calculation with PBE was carried out for Rb3PrSb2O9 after structural relaxation.

Calculated values
raw formation energy	-1.624	eV/atom
magnetization	2.06	μB per formula unit
crystal system	trigonal
electronic total energy	-5.66	eV/atom

Cell lengths 6.0485, 6.0485, 7.4902 Å; angles 90.00, 90.00, 120.00 degrees
Closest atoms and distances in Å follow each position.
Positions (direct):
Sb 0.3333 0.6667 0.1553  6 O 1.98-2.10
Sb 0.6667 0.3333 0.8447  6 O 1.98-2.10
O 0.5000 0.5000 0.0000  2 Sb 2.10
O 0.3583 0.1791 0.6929  1 Sb 1.98
O 0.8209 0.6417 0.6929  1 Sb 1.98
O 0.1791 0.3583 0.3071  1 Sb 1.98
O 0.1791 0.8209 0.3071  1 Sb 1.98
O 0.8209 0.1791 0.6929  1 Sb 1.98
O 0.0000 0.5000 0.0000  2 Sb 2.10
O 0.6417 0.8209 0.3071  1 Sb 1.98
O 0.5000 0.0000 0.0000  2 Sb 2.10
Pr 0.0000 0.0000 0.5000  6 O 2.37
Rb 0.6667 0.3333 0.3341  12 O 3.03-3.14
Rb 0.0000 0.0000 0.0000  12 O 2.97-3.02
Rb 0.3333 0.6667 0.6659  12 O 3.03-3.14